Model w:
Computed, not measured: crystalline La4InHg2 at its relaxed geometry at the GGA-PBE level of DFT.

Values from the calculation:
Fermi-level density of states ... 15.0 states/eV/cell
Space-group type ... I4/mmm (139)
Volume ... 276.5 Å³/cell

Geometry as POSCAR:
```
La4InHg2
1.0
-5.157 0.679 2.895
0.907 -5.160 2.826
1.586 1.547 8.584
In Hg La
1 2 4
Cartesian
0.000 0.000 0.000
-1.361 -1.461 4.038
-1.302 -1.473 10.266
0.103 0.033 6.297
-2.767 -2.968 8.008
0.454 -2.580 1.413
-2.578 0.339 1.447
```

Model x:
Computed, not measured: crystalline La4InHg2 at its relaxed geometry at the GGA-PBE level of DFT.

Values from the calculation:
Fermi-level density of states ... 8.1 states/eV/cell
Space-group type ... R-3m (166)
Volume ... 226.0 Å³/cell

Geometry as POSCAR:
```
La4InHg2
1.0
-4.360 -2.972 -1.484
0.538 -5.372 -0.945
-2.998 -4.424 7.543
In Hg La
1 2 4
Cartesian
0.000 0.000 0.000
-5.150 -9.610 4.007
-1.669 -3.158 1.107
-4.501 -8.992 0.865
-2.318 -3.776 4.249
-2.816 -5.818 -0.322
-4.004 -6.950 5.436
```

Which structure loses on stability? model w does.

Model w:
Computed, not measured: crystalline LaInHgSb at its relaxed geometry at the GGA-PBE level of DFT.

Values from the calculation:
Fermi-level density of states ... 2.8 states/eV/cell
Space-group type ... Pmmm (47)
Volume ... 111.3 Å³/cell

Geometry as POSCAR:
```
LaInHgSb
1.0
4.539 0.000 0.000
0.000 4.735 0.000
0.000 0.000 5.181
La In Hg Sb
1 1 1 1
Cartesian
2.270 2.367 0.000
2.270 0.000 2.590
0.000 2.367 2.590
0.000 0.000 0.000
```

Model x:
Computed, not measured: crystalline LaInHgSb at its relaxed geometry at the GGA-PBE level of DFT.

Values from the calculation:
Fermi-level density of states ... 3.8 states/eV/cell
Space-group type ... F-43m (216)
Volume ... 115.0 Å³/cell

Geometry as POSCAR:
```
LaInHgSb
1.0
5.458 0.000 0.000
2.729 4.727 0.000
2.729 1.576 4.457
Sb In Hg La
1 1 1 1
Cartesian
0.000 0.000 0.000
8.187 4.727 3.342
5.458 3.151 2.228
2.729 1.576 1.114
```

Which structure loses on stability? model x does.

Model w:
Computed, not measured: crystalline Li6InHg2 at its relaxed geometry at the GGA-PBE level of DFT.

Values from the calculation:
Fermi-level density of states ... 3.0 states/eV/cell
Space-group type ... Immm (71)
Volume ... 165.8 Å³/cell

Geometry as POSCAR:
```
Li6InHg2
1.0
-0.443 -0.623 2.831
-3.326 -7.535 -0.659
4.513 -6.885 0.709
Li In Hg
6 1 2
Cartesian
-1.042 -5.014 0.253
1.786 -10.029 2.628
-0.939 -10.255 2.153
3.172 -6.996 0.475
-1.986 -7.424 -0.425
1.683 -4.788 0.728
0.372 -7.521 1.441
0.031 -2.447 0.985
0.713 -12.596 1.896
```

Model x:
Computed, not measured: crystalline Li6InHg2 at its relaxed geometry at the GGA-PBE level of DFT.

Values from the calculation:
Fermi-level density of states ... 0.9 states/eV/cell
Space-group type ... C2/m (12)
Volume ... 159.9 Å³/cell

Geometry as POSCAR:
```
Li6InHg2
1.0
2.896 -0.240 -0.192
0.732 7.839 1.185
0.732 2.858 7.396
Li In Hg
6 1 2
Cartesian
2.417 8.676 3.563
1.944 1.781 4.825
1.944 5.096 0.692
2.179 4.404 5.222
2.179 6.053 3.166
2.417 5.361 7.696
0.000 0.000 0.000
0.489 3.566 2.860
3.871 6.892 5.528
```

Which structure loses on stability? model w does.

Model w:
Computed, not measured: crystalline Li3InHg6 at its relaxed geometry at the GGA-PBE level of DFT.

Values from the calculation:
Fermi-level density of states ... 4.6 states/eV/cell
Space-group type ... P2_1/m (11)
Volume ... 431.4 Å³/cell

Geometry as POSCAR:
```
Li3InHg6
1.0
4.863 0.000 0.000
0.000 8.339 -2.376
0.000 0.404 10.524
Li In Hg
6 2 12
Cartesian
1.216 4.694 2.837
3.647 4.049 5.311
1.216 3.350 7.616
3.647 5.393 0.533
1.216 6.692 8.523
3.647 2.050 -0.375
1.216 8.082 3.995
3.647 0.661 4.153
1.216 3.938 -0.173
3.647 4.805 8.321
1.216 1.385 1.700
3.647 7.358 6.448
1.216 5.511 5.824
3.647 3.232 2.325
1.216 2.539 4.805
3.647 6.204 3.343
1.216 6.908 0.954
3.647 1.835 7.194
1.216 1.045 9.248
3.647 7.698 -1.099
```

Model x:
Computed, not measured: crystalline Li3InHg6 at its relaxed geometry at the GGA-PBE level of DFT.

Values from the calculation:
Fermi-level density of states ... 7.0 states/eV/cell
Space-group type ... Cmc2_1 (36)
Volume ... 463.3 Å³/cell

Geometry as POSCAR:
```
Li3InHg6
1.0
-0.754 -5.641 -3.223
8.581 -0.751 -0.693
-2.501 -3.849 7.322
Li In Hg
6 2 12
Cartesian
6.242 -5.912 3.136
2.966 -9.543 3.621
1.895 -4.408 2.902
3.312 -6.727 -0.007
-1.192 -6.397 -0.912
2.084 -2.766 -1.397
-0.065 -3.646 5.228
5.635 -4.768 -0.779
4.363 -3.841 3.978
3.471 -6.806 2.739
2.246 -5.803 5.400
5.968 -7.478 0.824
-2.554 -4.713 6.771
0.176 -6.617 2.945
5.304 -2.469 1.120
8.021 -4.472 -2.762
-0.746 -3.540 2.138
2.976 -5.214 -2.438
2.036 -2.080 1.441
1.144 -5.045 0.202
```

Which structure loses on stability? model x does.